(1)
The following is a DFT calculation (PBE-GGA) of MgReTe2 after structural relaxation.

As for the total energy: -4.8502 eV/atom.

The structure belongs to space group Cm (No. 8); the cell edges are 9.089, 3.368 and 6.690 Å and the angles 90.00°, 98.66° and 90.00°. The inequivalent atoms are Mg at (0.000, 0.000, 0.000), Re at (0.243, 0.500, 0.181), Te at (0.256, 0.000, 0.845) and Te at (0.466, 0.000, 0.349).


(2)
The following is a DFT calculation (PBE-GGA) of Pm4HgS2 after structural relaxation.

As for the total energy: -5.2472 eV/atom.

The structure belongs to space group Cmcm (No. 63); the cell edges are 4.077, 13.298 and 14.075 Å and the angles 90.00°, 90.00° and 90.00°. The inequivalent atoms are Pm at (0.000, 0.000, 0.000), Pm at (0.000, 0.268, 0.115), Pm at (0.000, 0.435, 0.750), Hg at (0.000, 0.113, 0.750) and S at (0.000, 0.366, 0.561).


(3)
The following is a DFT calculation (PBE-GGA) of EuGa3Ag after structural relaxation.

As for the total energy: -4.8534 eV/atom.

The structure belongs to space group I-4m2 (No. 119); the cell edges are 4.352, 4.352 and 11.036 Å and the angles 90.00°, 90.00° and 90.00°. The inequivalent atoms are Eu at (0.000, 0.000, 0.000), Ga at (0.000, 0.000, 0.387), Ga at (0.000, 0.500, 0.250) and Ag at (0.000, 0.500, 0.750).